# 1
The following is a GGA-PBEsol calculation of TlIn5Se7 after structural relaxation, from the Alexandria database.

Results
total moment: 0.00 μB/f.u.
formation energy without anion corrections: -11.5 kcal/mol of atoms
Fermi-level density of states: 0.18 states/eV/cell
E_tot: -101.96 eV for the cell shown
mass density: 6677 kg/m3

Unit cell a=9.3990 b=4.0562 c=17.6796 alpha=90.00 beta=100.80 gamma=90.00
Positions (direct):
Tl 0.0364 0.2500 0.2304
Tl 0.9636 0.7500 0.7696
In 0.1490 0.7500 0.4538
In 0.1724 0.2500 0.0345
In 0.3172 0.7500 0.6905
In 0.4434 0.2500 0.3807
In 0.4824 0.2500 0.8956
In 0.5176 0.7500 0.1044
In 0.5566 0.7500 0.6193
In 0.6828 0.2500 0.3095
In 0.8276 0.7500 0.9655
In 0.8510 0.2500 0.5462
Se 0.0297 0.7500 0.0929
Se 0.0531 0.7500 0.5924
Se 0.2512 0.2500 0.7757
Se 0.2649 0.7500 0.3237
Se 0.3302 0.7500 0.9679
Se 0.3399 0.2500 0.5106
Se 0.3805 0.2500 0.1612
Se 0.6195 0.7500 0.8388
Se 0.6600 0.7500 0.4894
Se 0.6698 0.2500 0.0321
Se 0.7351 0.2500 0.6763
Se 0.7488 0.7500 0.2243
Se 0.9469 0.2500 0.4076
Se 0.9703 0.2500 0.9071

***

# 2
The following is a GGA-PBEsol calculation of TlInSe after structural relaxation, from the Alexandria database.

Results
total moment: 0.00 μB/f.u.
formation energy without anion corrections: -5.7 kcal/mol of atoms
Fermi-level density of states: 1.05 states/eV/cell
E_tot: -10.21 eV for the cell shown
mass density: 8539 kg/m3

Unit cell a=6.2889 b=6.2889 c=6.2889 alpha=146.00 beta=146.00 gamma=48.84
Positions (direct):
Tl 0.0000 0.0000 0.0000
In 0.7011 0.7011 0.0000
Se 0.3206 0.3206 0.0000

***

# 3
The following is a GGA-PBEsol calculation of TlIn2Se after structural relaxation, from the Alexandria database.

Results
total moment: 0.00 μB/f.u.
formation energy without anion corrections: -4.8 kcal/mol of atoms
Fermi-level density of states: 1.42 states/eV/cell
E_tot: -13.27 eV for the cell shown
mass density: 7948 kg/m3

Unit cell a=8.4373 b=8.4373 c=8.4373 alpha=26.73 beta=26.73 gamma=26.73
Positions (direct):
Tl 0.0000 0.0000 0.0000
In 0.2407 0.2407 0.2407
In 0.7593 0.7593 0.7593
Se 0.5000 0.5000 0.5000

***

# 4
The following is a GGA-PBEsol calculation of TlIn2Se after structural relaxation, from the Alexandria database.

Results
total moment: 0.00 μB/f.u.
formation energy without anion corrections: -4.2 kcal/mol of atoms
Fermi-level density of states: 1.33 states/eV/cell
E_tot: -13.17 eV for the cell shown
mass density: 7835 kg/m3

Unit cell a=5.5492 b=3.8238 c=5.5752 alpha=90.00 beta=113.21 gamma=90.00
Positions (direct):
Tl 0.0000 0.0000 0.0000
In 0.2766 0.5000 0.7240
In 0.7234 0.5000 0.2760
Se 0.5000 0.0000 0.5000

***

# 5
The following is a GGA-PBEsol calculation of TlIn2Se after structural relaxation, from the Alexandria database.

Results
total moment: 0.00 μB/f.u.
formation energy without anion corrections: -3.2 kcal/mol of atoms
Fermi-level density of states: 1.30 states/eV/cell
E_tot: -13.01 eV for the cell shown
mass density: 8193 kg/m3

Unit cell a=6.1702 b=6.1702 c=4.2959 alpha=109.23 beta=109.23 gamma=121.11
Positions (direct):
Tl 0.0000 0.0000 0.0000
In 0.0000 0.5000 0.5000
In 0.5000 0.0000 0.5000
Se 0.5000 0.5000 0.0000

***

# 6
The following is a GGA-PBEsol calculation of Tl3In5Se8 after structural relaxation, from the Alexandria database.

Results
total moment: 0.00 μB/f.u.
formation energy without anion corrections: -10.9 kcal/mol of atoms
Fermi-level density of states: 0.09 states/eV/cell
E_tot: -61.16 eV for the cell shown
mass density: 7053 kg/m3

Unit cell a=7.9450 b=7.9450 c=6.7840 alpha=90.00 beta=90.00 gamma=90.00
Positions (direct):
Tl 0.0000 0.0000 0.0000
Tl 0.0000 0.0000 0.5000
Tl 0.5000 0.5000 0.0000
In 0.0000 0.5000 0.0000
In 0.0000 0.5000 0.5000
In 0.5000 0.0000 0.0000
In 0.5000 0.0000 0.5000
In 0.5000 0.5000 0.5000
Se 0.1787 0.3232 0.7494
Se 0.1787 0.6768 0.2506
Se 0.3232 0.1787 0.2506
Se 0.3232 0.8213 0.7494
Se 0.6768 0.1787 0.7494
Se 0.6768 0.8213 0.2506
Se 0.8213 0.3232 0.2506
Se 0.8213 0.6768 0.7494

***

# 7
The following is a GGA-PBEsol calculation of TlInSe after structural relaxation, from the Alexandria database.

Results
total moment: 0.00 μB/f.u.
formation energy without anion corrections: -6.9 kcal/mol of atoms
Fermi-level density of states: 0.82 states/eV/cell
E_tot: -10.36 eV for the cell shown
mass density: 7896 kg/m3

Unit cell a=4.1059 b=4.1059 c=5.7357 alpha=90.00 beta=90.00 gamma=120.00
Positions (direct):
Tl 0.0000 0.0000 0.0000
In 0.6667 0.3333 0.6103
Se 0.3333 0.6667 0.3450

***

# 8
The following is a GGA-PBEsol calculation of TlIn2Se after structural relaxation, from the Alexandria database.

Results
total moment: 0.00 μB/f.u.
formation energy without anion corrections: -4.2 kcal/mol of atoms
Fermi-level density of states: 1.18 states/eV/cell
E_tot: -13.17 eV for the cell shown
mass density: 8216 kg/m3

Unit cell a=6.1317 b=6.1317 c=6.1317 alpha=144.76 beta=127.91 gamma=64.46
Positions (direct):
Tl 0.0000 0.0000 0.0000
In 0.2817 0.7817 0.5000
In 0.7183 0.2183 0.5000
Se 0.5000 0.5000 0.0000

***

# 9
The following is a GGA-PBEsol calculation of InWSe2 after structural relaxation, from the Alexandria database.

Results
total moment: 0.00 μB/f.u.
formation energy without anion corrections: -2.7 kcal/mol of atoms
Fermi-level density of states: 1.81 states/eV/cell
E_tot: -24.97 eV for the cell shown
mass density: 9230 kg/m3

Unit cell a=3.0787 b=3.0787 c=8.6662 alpha=90.00 beta=90.00 gamma=90.00
Positions (direct):
In 0.0000 0.0000 0.0000
W 0.0000 0.0000 0.5000
Se 0.5000 0.5000 0.3238
Se 0.5000 0.5000 0.6762

***

# 10
The following is a GGA-PBEsol calculation of YIn2Se after structural relaxation, from the Alexandria database.

Results
total moment: 0.00 μB/f.u.
formation energy without anion corrections: -15.4 kcal/mol of atoms
Fermi-level density of states: 2.21 states/eV/cell
E_tot: -19.31 eV for the cell shown
mass density: 6751 kg/m3

Unit cell a=3.7896 b=4.3327 c=5.9551 alpha=90.00 beta=90.00 gamma=90.00
Positions (direct):
Y 0.0000 0.0000 0.0000
In 0.0000 0.5000 0.5000
In 0.5000 0.0000 0.5000
Se 0.5000 0.5000 0.0000

***

# 11
The following is a GGA-PBEsol calculation of YIn2Se after structural relaxation, from the Alexandria database.

Results
total moment: 0.00 μB/f.u.
formation energy without anion corrections: -13.8 kcal/mol of atoms
Fermi-level density of states: 2.06 states/eV/cell
E_tot: -19.02 eV for the cell shown
mass density: 7084 kg/m3

Unit cell a=5.5565 b=5.5565 c=5.5565 alpha=131.88 beta=131.88 gamma=70.41
Positions (direct):
Y 0.0000 0.0000 0.0000
In 0.5000 0.5000 0.0000
In 0.7500 0.2500 0.5000
Se 0.2500 0.7500 0.5000

***

# 12
The following is a GGA-PBEsol calculation of ZnInSe3 after structural relaxation, from the Alexandria database.

Results
total moment: 0.00 μB/f.u.
formation energy without anion corrections: 12.9 kcal/mol of atoms
Fermi-level density of states: 6.53 states/eV/cell
E_tot: -13.32 eV for the cell shown
mass density: 4963 kg/m3

Unit cell a=5.1869 b=5.1869 c=5.1869 alpha=90.00 beta=90.00 gamma=90.00
Positions (direct):
Zn 0.0000 0.0000 0.0000
In 0.5000 0.5000 0.5000
Se 0.0000 0.5000 0.5000
Se 0.5000 0.0000 0.5000
Se 0.5000 0.5000 0.0000

***

Question: What is the E_tot in the eleventh record?
Answer: -19.02 eV for the cell shown